No. 1
Computed, not measured: ThPaFe2 after structural relaxation at the PBE level of DFT.

Lattice parameters (Å, degrees): 3.8094 3.8094 6.5685 73.14 73.14 60.00
Element x y z (fractional)
Fe: 0.7431 0.7431 0.7707
Fe: 0.2569 0.2569 0.2293
Pa: 0.0000 0.0000 0.0000
Th: 0.5000 0.5000 0.5000

Output
**Volume**: 19.45 A^3/atom
**Energy of formation**: 0.023 eV per atom
**Space group**: R-3m
**E_tot**: -33.75 eV per formula unit
**Total magnetic moment**: 0.000 μB per atom
**DOS(E_F)**: 0.902 states/eV/atom


No. 2
Computed, not measured: Th2Pa3Fe2 after structural relaxation at the PBE level of DFT.

Lattice parameters (Å, degrees): 3.5640 5.9705 8.5868 69.35 78.02 72.63
Element x y z (fractional)
Fe: 0.8859 0.0118 0.2163
Fe: 0.1141 0.9882 0.7837
Pa: 0.5000 0.0000 0.0000
Pa: 0.3788 0.8080 0.4345
Pa: 0.6212 0.1920 0.5655
Th: 0.1685 0.4616 0.2014
Th: 0.8315 0.5384 0.7986

Output
**Volume**: 23.16 A^3/atom
**Energy of formation**: -0.180 eV per atom
**Space group**: C2/m
**E_tot**: -61.51 eV per formula unit
**Total magnetic moment**: 0.000 μB per atom
**DOS(E_F)**: 1.352 states/eV/atom


No. 3
Computed, not measured: Th2PaFe9 after structural relaxation at the PBE level of DFT.

Lattice parameters (Å, degrees): 5.0563 5.0563 8.8917 73.48 73.48 60.00
Element x y z (fractional)
Th: 0.8603 0.8603 0.4192
Th: 0.1397 0.1397 0.5808
Fe: 0.4202 0.4202 0.2411
Fe: 0.0815 0.5798 0.7589
Fe: 0.6675 0.6675 0.9976
Fe: 0.5000 0.5000 0.5000
Fe: 0.9185 0.4202 0.2411
Fe: 0.4202 0.9185 0.2411
Fe: 0.5798 0.0815 0.7589
Fe: 0.3325 0.3325 0.0024
Fe: 0.5798 0.5798 0.7589
Pa: 0.0000 0.0000 0.0000

Output
**Volume**: 15.50 A^3/atom
**Energy of formation**: -0.049 eV per atom
**Space group**: R-3m
**E_tot**: -101.09 eV per formula unit
**Total magnetic moment**: 1.343 μB per atom
**DOS(E_F)**: 1.253 states/eV/atom


No. 4
Computed, not measured: ThPa2Fe after structural relaxation at the PBE level of DFT.

Lattice parameters (Å, degrees): 4.2005 4.2005 6.5908 71.42 71.42 60.00
Element x y z (fractional)
Th: 0.5000 0.5000 0.5000
Pa: 0.7313 0.7313 0.8060
Pa: 0.2687 0.2687 0.1940
Fe: 0.0000 0.0000 0.0000

Output
**Volume**: 23.41 A^3/atom
**Energy of formation**: 0.359 eV per atom
**Space group**: R-3m
**E_tot**: -33.44 eV per formula unit
**Total magnetic moment**: 0.000 μB per atom
**Polymorph energy (0 for the lowest one)**: 11.93 kcal/mol of atoms
**DOS(E_F)**: 2.026 states/eV/atom


Look up the E_tot of the first one. -33.75 eV per formula unit